4
Lattice="8.826 -0.092 -0.054 8.321 2.944 -0.054 8.321 1.384 2.599" Properties=species:S:1:pos:R:3 comment="TlZn2Co, relaxed, DFT PBE" spacegroup="R-3m, No. 166" ef_ev_per_atom=0.32 crystal_system=trigonal pbc="T T T"
Zn 13.114 2.181 1.282
Zn 25.088 4.172 2.453
Co 6.367 1.059 0.623
Tl 19.101 3.176 1.868

10
Lattice="7.085 0.000 0.000 0.000 7.085 0.000 0.000 0.000 2.877" Properties=species:S:1:pos:R:3 comment="TlZn2Co2, relaxed, DFT PBE" spacegroup="P4/mbm, No. 127" ef_ev_per_atom=0.32 crystal_system=tetragonal pbc="T T T"
Zn 4.427 6.200 0.000
Zn 0.885 4.427 0.000
Zn 2.657 0.885 0.000
Zn 6.200 2.657 0.000
Tl 0.000 0.000 0.000
Tl 3.542 3.542 0.000
Co 2.348 5.890 1.438
Co 4.737 1.195 1.438
Co 5.890 4.737 1.438
Co 1.195 2.348 1.438

no.,Fermi-level density of states (states/eV per cell),polymorph energy (0 for the lowest one) (meV per atom)
1,3.01,145
2,10.99,71